This record from Alexandria via LeMat-Bulk describes crystalline RbNiN at its relaxed geometry. The functional is PBE.

The structure belongs to space group R3m (No. 160, hexagonal axes); the cell edges are 5.3200, 5.3200 and 9.2701 Å and the angles 90.00°, 90.00° and 120.00°. The inequivalent atoms are Rb at (0.0000, 0.0000, 0.0000), Ni at (0.0000, 0.0000, 0.5048) and N at (0.0000, 0.0000, 0.6835).

Its polymorph energy (0 for the lowest one) is 917 meV/atom. For the volume, the calculation gives 75.7 Å³/f.u. For the formation energy from raw total energies, the calculation gives 998 meV/atom.

***

This record from Alexandria via LeMat-Bulk describes crystalline RbNiN2 at its relaxed geometry. The functional is PBE.

The structure belongs to space group Fm-3m (No. 225); the cell edges are 5.999, 5.999 and 5.999 Å and the angles 90.00°, 90.00° and 90.00°. The inequivalent atoms are Rb at (0.000, 0.000, 0.000), Ni at (0.000, 0.000, 0.500) and N at (0.250, 0.250, 0.250).

Its polymorph energy (0 for the lowest one) is 1598 meV/atom. For the volume, the calculation gives 54.0 Å³/f.u. For the formation energy from raw total energies, the calculation gives 2206 meV/atom.

***

This record from Alexandria via LeMat-Bulk describes crystalline RbNiN at its relaxed geometry. The functional is PBE.

The structure belongs to space group P-6m2 (No. 187); the cell edges are 5.2524, 5.2524 and 3.4304 Å and the angles 90.00°, 90.00° and 120.00°. The inequivalent atoms are Rb at (0.0000, 0.0000, 0.0000), Ni at (0.6667, 0.3333, 0.5000) and N at (0.6667, 0.3333, 0.0000).

Its polymorph energy (0 for the lowest one) is 36 meV/atom. For the volume, the calculation gives 82.0 Å³/f.u. For the formation energy from raw total energies, the calculation gives 117 meV/atom.

***

This record from Alexandria via LeMat-Bulk describes crystalline RbNiN2 at its relaxed geometry. The functional is PBE.

The structure belongs to space group I-42d (No. 122); the cell edges are 5.778, 5.778 and 7.555 Å and the angles 90.00°, 90.00° and 90.00°. The inequivalent atoms are Rb at (0.000, 0.000, 0.000), Ni at (0.000, 0.000, 0.500) and N at (0.091, 0.750, 0.625).

Its polymorph energy (0 for the lowest one) is 0 meV/atom. For the volume, the calculation gives 63.0 Å³/f.u. For the formation energy from raw total energies, the calculation gives 608 meV/atom.

***

This record from Alexandria via LeMat-Bulk describes crystalline RbNiN3 at its relaxed geometry. The functional is PBE.

The structure belongs to space group Pm-3m (No. 221); the cell edges are 4.358, 4.358 and 4.358 Å and the angles 90.00°, 90.00° and 90.00°. The inequivalent atoms are Rb at (0.000, 0.000, 0.000), Ni at (0.500, 0.500, 0.500) and N at (0.000, 0.000, 0.500).

For the volume, the calculation gives 82.8 Å³/f.u. For the formation energy from raw total energies, the calculation gives 3821 meV/atom.

***

This record from Alexandria via LeMat-Bulk describes crystalline RbNiN at its relaxed geometry. The functional is PBE.

The structure belongs to space group P4/nmm (No. 129, origin choice 2); the cell edges are 3.686, 3.686 and 9.964 Å and the angles 90.00°, 90.00° and 90.00°. The inequivalent atoms are Rb at (0.250, 0.250, 0.227), Ni at (0.250, 0.750, 0.500) and N at (0.250, 0.250, 0.564).

Its polymorph energy (0 for the lowest one) is 133 meV/atom. For the volume, the calculation gives 67.7 Å³/f.u. For the formation energy from raw total energies, the calculation gives 214 meV/atom.

***

This record from Alexandria via LeMat-Bulk describes crystalline RbNi3N at its relaxed geometry. The functional is PBE.

The structure belongs to space group Pm-3m (No. 221); the cell edges are 4.074, 4.074 and 4.074 Å and the angles 90.00°, 90.00° and 90.00°. The inequivalent atoms are Rb at (0.000, 0.000, 0.000), Ni at (0.000, 0.500, 0.500) and N at (0.500, 0.500, 0.500).

Its polymorph energy (0 for the lowest one) is 0 meV/atom. For the volume, the calculation gives 67.6 Å³/f.u. For the formation energy from raw total energies, the calculation gives 694 meV/atom.

***

This record from Alexandria via LeMat-Bulk describes crystalline RbNiN2 at its relaxed geometry. The functional is PBE.

The structure belongs to space group R-3m (No. 166, hexagonal axes); the cell edges are 3.1586, 3.1586 and 19.9879 Å and the angles 90.00°, 90.00° and 120.00°. The inequivalent atoms are Rb at (0.0000, 0.0000, 0.0000), Ni at (0.0000, 0.0000, 0.5000) and N at (0.0000, 0.0000, 0.1276).

Its polymorph energy (0 for the lowest one) is 407 meV/atom. For the volume, the calculation gives 57.6 Å³/f.u. For the formation energy from raw total energies, the calculation gives 1016 meV/atom.